1.
DFT (PBE) results for a geometry-optimized Ho5Si2Sn2 structure.

The formation energy from raw total energies comes out at -0.73 eV/atom. As for the volume: 229 Å³/f.u. As for the crystal system: orthorhombic.

The space group is Cmce (No. 64) and the conventional cell measures 15.1601, 7.7913 and 7.7616 Å, with angles of 90.00, 90.00 and 90.00 degrees. The asymmetric unit holds Ho at (0.0000, 0.0000, 0.0000), Ho at (0.1277, 0.1755, 0.3257), Si at (0.0000, 0.1214, 0.6222) and Sn at (0.2124, 0.0000, 0.0000).

***

2.
DFT (PBE) results for a geometry-optimized Ho6Si2SnTe3 structure.

The formation energy from raw total energies comes out at -1.06 eV/atom. As for the volume: 335 Å³/f.u. As for the crystal system: monoclinic.

The space group is C2/m (No. 12) and the conventional cell measures 18.7714, 4.2388 and 8.6717 Å, with angles of 90.00, 104.10 and 90.00 degrees. The asymmetric unit holds Ho at (0.0102, 0.0000, 0.2506), Ho at (0.1669, 0.5000, 0.1093), Ho at (0.1749, 0.5000, 0.5659), Si at (0.1678, 0.0000, 0.3360), Sn at (0.0000, 0.5000, 0.0000), Te at (0.0000, 0.5000, 0.5000) and Te at (0.1641, 0.0000, 0.8326).

***

3.
DFT (PBE) results for a geometry-optimized SrHo2Si6 structure.

The formation energy from raw total energies comes out at -0.36 eV/atom. As for the volume: 200 Å³/f.u. As for the crystal system: monoclinic.

The space group is Cm (No. 8) and the conventional cell measures 12.2326, 8.7014 and 3.9536 Å, with angles of 90.00, 108.39 and 90.00 degrees. The asymmetric unit holds Sr at (0.0000, 0.0000, 0.0000), Ho at (0.1512, 0.5000, 0.1508), Ho at (0.3504, 0.0000, 0.8514), Si at (0.0008, 0.3483, 0.5011), Si at (0.1863, 0.2398, 0.6878) and Si at (0.3151, 0.2599, 0.3142).

***

4.
DFT (PBE) results for a geometry-optimized SrHoSi4 structure.

The formation energy from raw total energies comes out at -0.38 eV/atom. As for the volume: 132 Å³/f.u. As for the crystal system: orthorhombic.

The space group is Pbam (No. 55) and the conventional cell measures 7.6625, 16.0464 and 4.2946 Å, with angles of 90.00, 90.00 and 90.00 degrees. The asymmetric unit holds Sr at (0.1249, 0.1574, 0.0000), Ho at (0.1308, 0.4121, 0.0000), Si at (0.0291, 0.6904, 0.5000), Si at (0.1182, 0.9504, 0.5000), Si at (0.1309, 0.5431, 0.5000) and Si at (0.2190, 0.8053, 0.5000).

***

5.
DFT (PBE) results for a geometry-optimized Ho3TaSi6 structure.

The formation energy from raw total energies comes out at -0.57 eV/atom. As for the volume: 187 Å³/f.u. As for the crystal system: trigonal.

The space group is R-3c (No. 167, hexagonal axes) and the conventional cell measures 10.8861, 10.8861 and 10.9356 Å, with angles of 90.00, 90.00 and 120.00 degrees. The asymmetric unit holds Ho at (0.0000, 0.4345, 0.2500), Ta at (0.0000, 0.0000, 0.0000) and Si at (0.0682, 0.2103, 0.3408).

***

6.
DFT (PBE) results for a geometry-optimized HoTaSi2 structure.

The formation energy from raw total energies comes out at -0.39 eV/atom. As for the volume: 80 Å³/f.u. As for the crystal system: trigonal.

The space group is R-3m (No. 166, hexagonal axes) and the conventional cell measures 3.8134, 3.8134 and 18.9962 Å, with angles of 90.00, 90.00 and 120.00 degrees. The asymmetric unit holds Ho at (0.0000, 0.0000, 0.0000), Ta at (0.0000, 0.0000, 0.5000) and Si at (0.0000, 0.0000, 0.2399).

***

7.
DFT (PBE) results for a geometry-optimized HoTaSi2Tc structure.

The formation energy from raw total energies comes out at -0.64 eV/atom. As for the volume: 89 Å³/f.u. As for the crystal system: tetragonal.

The space group is I-4m2 (No. 119) and the conventional cell measures 4.0001, 4.0001 and 11.1075 Å, with angles of 90.00, 90.00 and 90.00 degrees. The asymmetric unit holds Ho at (0.0000, 0.0000, 0.0000), Ta at (0.0000, 0.5000, 0.7500), Si at (0.0000, 0.0000, 0.3929) and Tc at (0.0000, 0.5000, 0.2500).

***

8.
DFT (PBE) results for a geometry-optimized TbHo2Si6 structure.

The formation energy from raw total energies comes out at -0.52 eV/atom. As for the volume: 171 Å³/f.u. As for the crystal system: hexagonal.

The space group is P6/mmm (No. 191) and the conventional cell measures 7.0864, 7.0864 and 3.9321 Å, with angles of 90.00, 90.00 and 120.00 degrees. The asymmetric unit holds Tb at (0.0000, 0.0000, 0.0000), Ho at (0.3333, 0.6667, 0.0000) and Si at (0.0000, 0.3340, 0.5000).

***

9.
DFT (PBE) results for a geometry-optimized Tb2Ho3Si4 structure.

The formation energy from raw total energies comes out at -0.76 eV/atom. As for the volume: 208 Å³/f.u. As for the crystal system: monoclinic.

The space group is P2_1/c (No. 14) and the conventional cell measures 7.6312, 7.6853 and 7.3915 Å, with angles of 90.00, 106.65 and 90.00 degrees. The asymmetric unit holds Tb at (0.1990, 0.1805, 0.0858), Ho at (0.2436, 0.6812, 0.2530), Ho at (0.5000, 0.0000, 0.5000), Si at (0.0799, 0.5291, 0.8759) and Si at (0.4898, 0.1205, 0.8765).

***

10.
DFT (PBE) results for a geometry-optimized TbHo2Si2 structure.

The formation energy from raw total energies comes out at -0.58 eV/atom. As for the volume: 120 Å³/f.u. For the offset from the most stable computed form, the calculation gives 0.105 eV/atom. As for the crystal system: monoclinic.

The space group is C2/m (No. 12) and the conventional cell measures 12.1187, 4.3198 and 10.2709 Å, with angles of 90.00, 116.96 and 90.00 degrees. The asymmetric unit holds Tb at (0.2184, 0.0000, 0.3563), Ho at (0.0163, 0.5000, 0.6872), Ho at (0.1836, 0.5000, 0.0861), Si at (0.0291, 0.0000, 0.8991) and Si at (0.1114, 0.0000, 0.5613).

***

11.
DFT (PBE) results for a geometry-optimized TbHo3Si4 structure.

The formation energy from raw total energies comes out at -0.55 eV/atom. As for the volume: 192 Å³/f.u. As for the crystal system: orthorhombic.

The space group is Immm (No. 71) and the conventional cell measures 3.9409, 6.2563 and 15.5412 Å, with angles of 90.00, 90.00 and 90.00 degrees. The asymmetric unit holds Tb at (0.0000, 0.0000, 0.0000), Ho at (0.0000, 0.0000, 0.5000), Ho at (0.0000, 0.5000, 0.3055) and Si at (0.0000, 0.3145, 0.1322).

***

12.
DFT (PBE) results for a geometry-optimized TbHoSi2 structure.

The formation energy from raw total energies comes out at -0.83 eV/atom. As for the volume: 87 Å³/f.u. For the offset from the most stable computed form, the calculation gives 0.000 eV/atom. As for the crystal system: orthorhombic.

The space group is Amm2 (No. 38) and the conventional cell measures 3.8361, 4.2820 and 10.5422 Å, with angles of 90.00, 90.00 and 90.00 degrees. The asymmetric unit holds Tb at (0.0000, 0.0000, 0.0000), Ho at (0.5000, 0.0000, 0.7197), Si at (0.0000, 0.0000, 0.2832) and Si at (0.5000, 0.0000, 0.4356).